Entry from Alexandria: a relaxed HfZrNiO2 crystal (PBE with a Hubbard U).

Output
space-group type = No. 123
E = -6.632 eV/atom

Cell lengths 3.9766, 3.9766, 6.4510 Å; angles 90.00, 90.00, 90.00 degrees
Last column: nearest neighbours and their distance in Å.
Positions (direct):
Hf: 0.0000 0.0000 0.0000  4 Ni 2.81
Zr: 0.0000 0.0000 0.5000  4 O 1.99
Ni: 0.5000 0.5000 0.0000  4 Hf 2.81
O: 0.0000 0.5000 0.5000  2 Zr 1.99
O: 0.5000 0.0000 0.5000  2 Zr 1.99